# PmSmBeGe

A relaxed structure of PmSmBeGe (PBE, the Alexandria database).

Output
ΔE_f (eV/f.u.): -1.04
Total energy (eV/f.u.): -18.86
Density (g/cm3): 6.909

abc: 5.0415 5.0415 5.0415
angles: 60.00 60.00 60.00
With the nearest neighbours (Å) after each atom.
Positions (direct):
Ge: 0.7500 0.7500 0.7500  4 Pm 3.09, 4 Sm 3.09
Pm: 0.0000 0.0000 0.0000  4 Be 3.09, 4 Ge 3.09
Sm: 0.5000 0.5000 0.5000  4 Ge 3.09, 4 Be 3.09
Be: 0.2500 0.2500 0.2500  4 Sm 3.09, 4 Pm 3.09